## KNa2TlRh (GGA-PBE)

Data for an optimized crystal structure of KNa2TlRh. Values from VASP.

Cell and atoms, written as Quantum ESPRESSO input:
```
&SYSTEM
  ibrav = 0, nat = 5, ntyp = 4
/
ATOMIC_SPECIES
Na 22.99 Na.upf
Tl 204.38 Tl.upf
Rh 102.91 Rh.upf
K 39.10 K.upf
CELL_PARAMETERS angstrom
5.532 0.000 0.000
0.000 5.532 0.000
0.000 0.000 5.309
ATOMIC_POSITIONS crystal
Na 0.000 0.500 0.000
Na 0.500 0.000 0.000
Tl 0.000 0.000 0.500
Rh 0.000 0.000 0.000
K 0.500 0.500 0.500
```

## Properties
SG: P4/mmm, No. 123

## K3NaRu (GGA-PBE)

Data for an optimized crystal structure of K3NaRu. Values from VASP.

Cell and atoms, written as Quantum ESPRESSO input:
```
&SYSTEM
  ibrav = 0, nat = 5, ntyp = 3
/
ATOMIC_SPECIES
Ru 101.07 Ru.upf
K 39.10 K.upf
Na 22.99 Na.upf
CELL_PARAMETERS angstrom
-0.785 -3.853 4.725
2.582 -4.525 -3.261
5.522 1.569 2.196
ATOMIC_POSITIONS crystal
Ru 0.000 0.000 0.000
K 0.000 0.500 0.000
K 0.000 0.000 0.500
K 0.500 0.000 0.000
Na 0.500 0.500 0.500
```

## Properties
SG: Pm-3m, No. 221

Number 1: DFT formation energy 0.089 eV/atom, E_tot -2.602 eV/atom. Number 2: DFT formation energy 0.945 eV/atom, E_tot -1.833 eV/atom.